[1]
Below is crystalline PuB2S4 at its relaxed geometry, with properties calculated at the PBE-GGA level.

Computed properties:
SG: No. 87
Raw formation energy, eV per atom: -0.595

abc: 5.688 5.688 5.688
angles: 101.49 101.49 126.98
Sites, in units of the cell vectors:
Pu 0.000 0.000 0.000
B 0.250 0.750 0.500
B 0.750 0.250 0.500
S 0.161 0.624 0.785
S 0.376 0.161 0.537
S 0.624 0.839 0.463
S 0.839 0.376 0.215


[2]
Below is crystalline HfNbF3 at its relaxed geometry, with properties calculated at the PBE-GGA level.

Computed properties:
SG: No. 221
Raw formation energy, eV per atom: -1.342

abc: 4.315 4.315 4.315
angles: 90.00 90.00 90.00
Sites, in units of the cell vectors:
Hf 0.000 0.000 0.000
Nb 0.500 0.500 0.500
F 0.000 0.000 0.500
F 0.000 0.500 0.000
F 0.500 0.000 0.000


[3]
Below is crystalline AcPrThMg at its relaxed geometry, with properties calculated at the PBE-GGA level.

Computed properties:
ΔE_f, eV per formula unit: 0.8
SG: No. 216

abc: 5.779 5.779 5.779
angles: 60.00 60.00 60.00
Sites, in units of the cell vectors:
Ac 0.000 0.000 0.000
Pr 0.250 0.250 0.250
Th 0.750 0.750 0.750
Mg 0.500 0.500 0.500


The evaluated density of states at the Fermi level for the records listed, in turn: 12.5; 4.0; 6.8 states/eV/cell.